Record 1
VASP calculation (PBE) on a relaxed RbAlTe2 crystal.

Unit cell a=4.625 b=4.625 c=6.557 alpha=90.00 beta=90.00 gamma=90.00
Fractional coordinates of all 4 atoms:
Te 0.500 0.500 0.500
Te 0.000 0.000 0.000
Al 0.000 0.000 0.500
Rb 0.500 0.500 0.000

## Properties
Its space group is No. 123. The calculation puts the total magnetization at 0.00 μB/atom. Its density is 4.35 Mg/m³. For the energy, the calculation gives -2.77 eV/atom. For the raw formation energy, the calculation gives -0.02 eV per atom.

Record 2
VASP calculation (PBE) on a relaxed NbPd2Pt8 crystal.

Unit cell a=5.323 b=5.627 c=7.314 alpha=113.00 beta=111.74 gamma=89.03
Fractional coordinates of all 11 atoms:
Nb 0.500 0.000 0.000
Pd 0.692 0.692 0.384
Pd 0.308 0.308 0.616
Pt 0.226 0.313 0.221
Pt 0.005 0.093 0.779
Pt 0.733 0.393 0.000
Pt 0.721 0.221 0.443
Pt 0.279 0.779 0.557
Pt 0.267 0.607 0.000
Pt 0.995 0.907 0.221
Pt 0.774 0.687 0.779

## Properties
For the formation energy, the calculation gives -0.09 eV/atom. Its space group is No. 12. The calculation puts the total magnetization at 0.00 μB/atom. Its density is 16.73 Mg/m³. For the energy, the calculation gives -6.34 eV/atom.

Record 3
VASP calculation (PBE) on a relaxed BeAgBi2Ir crystal.

Unit cell a=5.081 b=4.216 c=5.081 alpha=90.00 beta=90.00 gamma=90.00
Fractional coordinates of all 5 atoms:
Be 0.000 0.000 0.000
Ir 0.000 0.500 0.000
Bi 0.000 0.000 0.500
Bi 0.500 0.000 0.000
Ag 0.500 0.500 0.500

## Properties
For the formation energy, the calculation gives 0.51 eV/atom. Its space group is No. 123. The calculation puts the total magnetization at 0.00 μB/atom. Its density is 11.10 Mg/m³. For the energy, the calculation gives -4.13 eV/atom.

Record 4
VASP calculation (PBE) on a relaxed ErAlCo crystal.

Unit cell a=6.421 b=6.421 c=5.940 alpha=90.00 beta=90.00 gamma=90.00
Fractional coordinates of all 12 atoms:
Co 0.453 0.453 0.000
Co 0.547 0.547 0.500
Co 0.047 0.953 0.250
Co 0.953 0.047 0.750
Al 0.698 0.302 0.750
Al 0.802 0.802 0.500
Al 0.198 0.198 0.000
Al 0.302 0.698 0.250
Er 0.750 0.250 0.250
Er 0.750 0.750 0.000
Er 0.250 0.250 0.500
Er 0.250 0.750 0.750

## Properties
For the formation energy, the calculation gives -0.14 eV/atom. Its space group is No. 92. The calculation puts the total magnetization at 0.00 μB/atom. Its density is 6.87 Mg/m³. For the energy, the calculation gives -5.27 eV/atom.

Record 5
VASP calculation (PBE) on a relaxed LiAsPd crystal.

Unit cell a=6.603 b=7.606 c=7.606 alpha=61.43 beta=64.27 gamma=64.27
Fractional coordinates of all 18 atoms:
Li 0.258 0.951 0.451
Li 0.661 0.049 0.549
Li 0.724 0.520 0.020
Li 0.264 0.480 0.980
Li 0.829 0.250 0.750
Li 0.830 0.750 0.250
Pd 0.504 0.500 0.500
Pd 0.504 0.000 0.000
Pd 0.253 0.907 0.844
Pd 0.004 0.093 0.156
Pd 0.004 0.656 0.593
Pd 0.253 0.344 0.407
As 0.282 0.723 0.223
As 0.229 0.277 0.777
As 0.590 0.665 0.669
As 0.923 0.335 0.331
As 0.923 0.831 0.835
As 0.590 0.169 0.165

## Properties
For the formation energy, the calculation gives -0.55 eV/atom. Its space group is No. 46. The calculation puts the total magnetization at 0.00 μB/atom. Its density is 6.48 Mg/m³. For the energy, the calculation gives -4.47 eV/atom.

Record 6
VASP calculation (PBE) on a relaxed TbZrGe2Rh5 crystal.

Unit cell a=4.630 b=4.630 c=7.363 alpha=90.00 beta=90.00 gamma=90.00
Fractional coordinates of all 9 atoms:
Tb 0.000 0.000 0.500
Zr 0.000 0.000 0.000
Ge 0.500 0.500 0.165
Ge 0.500 0.500 0.835
Rh 0.000 0.500 0.232
Rh 0.500 0.000 0.232
Rh 0.000 0.500 0.768
Rh 0.500 0.000 0.768
Rh 0.500 0.500 0.500

## Properties
For the formation energy, the calculation gives -0.50 eV/atom. Its space group is No. 123. The calculation puts the total magnetization at 0.00 μB/atom. Its density is 9.57 Mg/m³. For the energy, the calculation gives -7.07 eV/atom.

Record 7
VASP calculation (PBE) on a relaxed CaTbAlO4 crystal.

Unit cell a=3.676 b=3.676 c=6.508 alpha=106.40 beta=106.40 gamma=90.00
Fractional coordinates of all 7 atoms:
Ca 0.644 0.644 0.289
Tb 0.359 0.359 0.718
Al 0.006 0.006 0.012
O 0.994 0.494 0.989
O 0.494 0.994 0.989
O 0.833 0.833 0.665
O 0.170 0.170 0.339

## Properties
Its space group is No. 107. The calculation puts the total magnetization at 0.00 μB/atom. Its density is 5.97 Mg/m³. For the energy, the calculation gives -7.52 eV/atom. For the raw formation energy, the calculation gives -3.20 eV per atom.

Record 8
VASP calculation (PBE) on a relaxed AlCr2B2 crystal.

Unit cell a=5.590 b=5.590 c=2.940 alpha=90.00 beta=90.00 gamma=90.00
Fractional coordinates of all 10 atoms:
Cr 0.172 0.672 0.500
Cr 0.672 0.828 0.500
Cr 0.828 0.328 0.500
Cr 0.328 0.172 0.500
B 0.387 0.887 0.000
B 0.887 0.613 0.000
B 0.613 0.113 0.000
B 0.113 0.387 0.000
Al 0.000 0.000 0.000
Al 0.500 0.500 0.000

## Properties
For the formation energy, the calculation gives -0.45 eV/atom. Its space group is No. 127. The calculation puts the total magnetization at 0.00 μB/atom. Its density is 5.52 Mg/m³. For the energy, the calculation gives -7.72 eV/atom.

Record 9
VASP calculation (PBE) on a relaxed SiSb crystal.

Unit cell a=6.361 b=6.361 c=6.896 alpha=57.45 beta=57.45 gamma=36.22
Fractional coordinates of all 6 atoms:
Si 0.265 0.265 0.434
Si 0.137 0.137 0.248
Si 0.762 0.762 0.982
Sb 0.936 0.936 0.139
Sb 0.629 0.629 0.759
Sb 0.438 0.438 0.605

## Properties
Its space group is No. 8. The calculation puts the total magnetization at 0.00 μB/atom. Its density is 5.49 Mg/m³. For the energy, the calculation gives -4.48 eV/atom. For the raw formation energy, the calculation gives 0.29 eV per atom.

Record 10
VASP calculation (PBE) on a relaxed Fe2BiWC crystal.

Unit cell a=4.800 b=5.216 c=4.800 alpha=90.00 beta=90.00 gamma=90.00
Fractional coordinates of all 5 atoms:
C 0.500 0.500 0.500
Bi 0.000 0.000 0.000
W 0.000 0.500 0.000
Fe 0.000 0.000 0.500
Fe 0.500 0.000 0.000

## Properties
For the formation energy, the calculation gives 3.41 eV/atom. Its space group is No. 123. The calculation puts the total magnetization at 1.07 μB/atom. Its density is 7.14 Mg/m³. For the energy, the calculation gives -5.19 eV/atom.

Record 11
VASP calculation (PBE) on a relaxed YErCuIr crystal.

Unit cell a=4.859 b=4.859 c=4.859 alpha=60.00 beta=60.00 gamma=60.00
Fractional coordinates of all 4 atoms:
Y 0.750 0.750 0.750
Ir 0.500 0.500 0.500
Cu 0.000 0.000 0.000
Er 0.250 0.250 0.250

## Properties
For the formation energy, the calculation gives -0.60 eV/atom. Its space group is No. 216. The calculation puts the total magnetization at 0.00 μB/atom. Its density is 10.48 Mg/m³. For the energy, the calculation gives -6.60 eV/atom.

Record 12
VASP calculation (PBE) on a relaxed Mg16Al12Ge crystal.

Unit cell a=9.049 b=9.049 c=9.042 alpha=108.95 beta=108.95 gamma=109.24
Fractional coordinates of all 29 atoms:
Mg 0.354 0.354 0.331
Mg 0.000 0.000 0.002
Mg 0.994 0.994 0.650
Mg 0.310 0.310 0.708
Mg 0.673 0.404 0.004
Mg 0.596 0.288 0.599
Mg 0.004 0.683 0.400
Mg 0.002 0.650 0.006
Mg 0.703 0.323 0.313
Mg 0.401 0.996 0.679
Mg 0.996 0.401 0.679
Mg 0.323 0.703 0.313
Mg 0.650 0.002 0.006
Mg 0.683 0.004 0.400
Mg 0.288 0.596 0.599
Mg 0.404 0.673 0.004
Al 0.821 0.821 0.187
Al 0.634 0.634 0.827
Al 0.355 0.171 0.985
Al 0.823 0.634 0.643
Al 0.187 0.001 0.365
Al 0.365 0.992 0.179
Al 0.181 0.807 0.811
Al 0.807 0.181 0.811
Al 0.992 0.365 0.179
Al 0.001 0.187 0.365
Al 0.634 0.823 0.643
Al 0.171 0.355 0.985
Ge 0.648 0.648 0.329

## Properties
For the formation energy, the calculation gives -0.03 eV/atom. Its space group is No. 8. The calculation puts the total magnetization at 0.00 μB/atom. Its density is 2.25 Mg/m³. For the energy, the calculation gives -2.62 eV/atom.